5
Lattice="3.566 0.000 0.000 0.000 3.566 0.000 0.000 0.000 4.239" Properties=species:S:1:pos:R:3 comment="GGA-PBE LiOsSN2, relaxed" crystal_system=tetragonal e_above_lowest_polymorph_mev_per_atom=1747 e_tot_ev_per_atom=-4.8020 raw_formation_energy_mev_per_atom=1982 m_tot_mub_per_cell=0.0 pbc="T T T"
Li 0.000 0.000 0.000
Os 1.783 1.783 2.119
S 0.000 0.000 2.119
N 0.000 1.783 0.000
N 1.783 0.000 0.000



12
Lattice="9.182 -2.101 0.000 9.182 2.101 0.000 -1.963 0.000 8.199" Properties=species:S:1:pos:R:3 comment="GGA-PBE Sm3Th2UAs6, relaxed" crystal_system=monoclinic e_tot_ev_per_atom=-7.0366 m_tot_mub_per_cell=2.7 pbc="T T T"
Sm 0.000 0.000 0.000
Sm 4.788 0.000 5.472
Sm 11.613 0.000 2.727
Th 5.819 0.000 1.386
Th 10.582 0.000 6.813
U -0.981 0.000 4.100
As 1.874 0.000 4.752
As 2.902 0.000 0.683
As 7.698 0.000 6.089
As 8.704 0.000 2.110
As 13.499 0.000 7.516
As 14.527 0.000 3.447



13
Lattice="2.936 1.695 11.752 -2.936 1.695 11.752 0.000 -3.390 11.752" Properties=species:S:1:pos:R:3 comment="GGA-PBE Cd7Pb6, relaxed" crystal_system=trigonal e_tot_ev_per_atom=-2.1941 m_tot_mub_per_cell=0.0 pbc="T T T"
Cd 0.000 0.000 0.000
Cd 0.000 -1.681 9.128
Cd -1.456 0.841 9.128
Cd -1.456 -0.841 26.127
Cd 1.456 0.841 9.128
Cd 1.456 -0.841 26.127
Cd 0.000 1.681 26.127
Pb 0.000 0.000 5.680
Pb 0.000 0.000 12.249
Pb 0.000 0.000 15.926
Pb 0.000 0.000 19.329
Pb 0.000 0.000 23.005
Pb 0.000 0.000 29.575



Please write out number 2 again, unchanged.
12
Lattice="9.182 -2.101 0.000 9.182 2.101 0.000 -1.963 0.000 8.199" Properties=species:S:1:pos:R:3 comment="GGA-PBE Sm3Th2UAs6, relaxed" crystal_system=monoclinic e_tot_ev_per_atom=-7.0366 m_tot_mub_per_cell=2.7 pbc="T T T"
Sm 0.000 0.000 0.000
Sm 4.788 0.000 5.472
Sm 11.613 0.000 2.727
Th 5.819 0.000 1.386
Th 10.582 0.000 6.813
U -0.981 0.000 4.100
As 1.874 0.000 4.752
As 2.902 0.000 0.683
As 7.698 0.000 6.089
As 8.704 0.000 2.110
As 13.499 0.000 7.516
As 14.527 0.000 3.447